1.
This record from Alexandria via LeMat-Bulk describes crystalline Mg3Mo at its relaxed geometry. The functional is PBE.

Cell and atoms, written as extended XYZ:
```
8
Lattice="4.208 0.000 0.000 0.000 4.208 0.000 0.000 0.000 8.518" Properties=species:S:1:pos:R:3 pbc="T T T"
Mg 0.000 0.000 0.000
Mg 0.000 2.104 2.129
Mg 0.000 2.104 6.388
Mg 2.104 0.000 2.129
Mg 2.104 0.000 6.388
Mg 2.104 2.104 4.259
Mo 0.000 0.000 4.259
Mo 2.104 2.104 0.000
```

Output
total moment	1.5	Bohr magnetons per cell
DFT formation energy	405	meV per atom
E	-28.0	eV for the cell shown
relative energy among the computed polymorphs	208	meV per atom

---

2.
This record from Alexandria via LeMat-Bulk describes crystalline La2DyCo at its relaxed geometry. The functional is PBE.

Cell and atoms, written as extended XYZ:
```
16
Lattice="7.100 0.000 0.000 0.000 10.088 0.000 0.000 0.000 6.307" Properties=species:S:1:pos:R:3 pbc="T T T"
La 1.187 0.724 1.115
La 1.187 4.320 1.115
La 2.362 5.768 4.268
La 2.362 9.364 4.268
La 4.737 0.724 2.039
La 4.737 4.320 2.039
La 5.912 5.768 5.193
La 5.912 9.364 5.193
Dy 0.326 2.522 4.166
Dy 3.224 7.566 1.012
Dy 3.876 2.522 5.295
Dy 6.774 7.566 2.141
Co 0.831 7.566 5.906
Co 2.719 2.522 2.752
Co 4.381 7.566 3.555
Co 6.269 2.522 0.401
```

Output
total moment	0.0	Bohr magnetons per cell
DFT formation energy	-104	meV per atom
E	-87.9	eV for the cell shown
relative energy among the computed polymorphs	0	meV per atom

---

3.
This record from Alexandria via LeMat-Bulk describes crystalline Sc4Cd3Ga at its relaxed geometry. The functional is PBE.

Cell and atoms, written as extended XYZ:
```
8
Lattice="3.462 0.000 0.000 0.000 3.462 0.000 0.000 0.000 14.214" Properties=species:S:1:pos:R:3 pbc="T T T"
Sc 0.000 0.000 1.615
Sc 0.000 0.000 5.266
Sc 0.000 0.000 8.949
Sc 0.000 0.000 12.599
Cd 1.731 1.731 3.461
Cd 1.731 1.731 7.107
Cd 1.731 1.731 10.754
Ga 1.731 1.731 0.000
```

Output
total moment	0.0	Bohr magnetons per cell
DFT formation energy	-370	meV per atom
E	-34.1	eV for the cell shown

---

4.
This record from Alexandria via LeMat-Bulk describes crystalline Ac6In2Ni at its relaxed geometry. The functional is PBE.

Cell and atoms, written as extended XYZ:
```
18
Lattice="7.171 0.000 0.000 0.000 10.519 0.000 -5.710 0.000 8.982" Properties=species:S:1:pos:R:3 pbc="T T T"
Ac -1.848 1.504 4.254
Ac -4.704 3.755 8.745
Ac -0.232 7.755 3.950
Ac -3.087 8.023 8.441
Ac 1.192 0.365 1.740
Ac -1.663 4.894 6.231
Ac 3.124 5.624 2.751
Ac 0.268 10.154 7.242
Ac 4.548 2.496 0.541
Ac 1.692 2.763 5.032
Ac 6.164 6.764 0.237
Ac 3.309 9.014 4.727
In -3.315 0.907 7.341
In -0.459 4.352 2.850
In 1.920 6.167 6.131
In 4.775 9.611 1.640
Ni 0.730 0.000 4.491
Ni 3.585 5.259 0.000
```

Output
total moment	0.0	Bohr magnetons per cell
DFT formation energy	-213	meV per atom
E	-75.6	eV for the cell shown
relative energy among the computed polymorphs	0	meV per atom

---

5.
This record from Alexandria via LeMat-Bulk describes crystalline Tb2Pm2Nd4Sm at its relaxed geometry. The functional is PBE.

Cell and atoms, written as extended XYZ:
```
9
Lattice="7.730 -2.578 0.000 7.730 2.578 0.000 -2.585 0.000 7.707" Properties=species:S:1:pos:R:3 pbc="T T T"
Tb 0.001 0.000 7.704
Tb 12.874 0.000 0.003
Pm 5.149 0.000 2.556
Pm 7.726 0.000 5.151
Nd -0.007 0.000 2.555
Nd 2.566 0.000 5.156
Nd 10.309 0.000 2.551
Nd 12.882 0.000 5.152
Sm 7.730 0.000 0.000
```

Output
total moment	0.0	Bohr magnetons per cell
DFT formation energy	15	meV per atom
E	-42.4	eV for the cell shown

---

6.
This record from Alexandria via LeMat-Bulk describes crystalline Ca2PmH8Rh at its relaxed geometry. The functional is PBE.

Cell and atoms, written as extended XYZ:
```
12
Lattice="4.802 0.000 0.000 -2.401 4.158 0.000 0.000 0.000 6.777" Properties=species:S:1:pos:R:3 pbc="T T T"
Ca 0.000 2.772 2.385
Ca 2.401 1.386 4.392
Pm 0.000 0.000 0.000
H 0.000 1.340 4.505
H -1.240 3.488 4.505
H 1.160 0.670 2.272
H 0.000 2.772 0.182
H 2.401 1.386 6.594
H 1.240 3.488 4.505
H 3.641 0.670 2.272
H 2.401 2.818 2.272
Rh 0.000 0.000 3.388
```

Output
total moment	0.0	Bohr magnetons per cell
E	-47.8	eV for the cell shown

---

7.
This record from Alexandria via LeMat-Bulk describes crystalline LiScIn4 at its relaxed geometry. The functional is PBE.

Cell and atoms, written as extended XYZ:
```
6
Lattice="0.000 4.200 4.200 4.200 0.000 4.200 4.200 4.200 0.000" Properties=species:S:1:pos:R:3 pbc="T T T"
Li 0.000 0.000 0.000
Sc 6.300 6.300 6.300
In 3.150 3.150 3.150
In 5.250 5.250 3.150
In 5.250 3.150 5.250
In 3.150 5.250 5.250
```

Output
total moment	0.0	Bohr magnetons per cell
DFT formation energy	-27	meV per atom
E	-19.4	eV for the cell shown

---

8.
This record from Alexandria via LeMat-Bulk describes crystalline CrCoCu2 at its relaxed geometry. The functional is PBE.

Cell and atoms, written as extended XYZ:
```
4
Lattice="2.408 0.000 0.000 0.000 3.902 0.000 0.000 0.000 4.937" Properties=species:S:1:pos:R:3 pbc="T T T"
Cr 0.000 0.000 0.000
Co 0.000 0.000 2.468
Cu 1.204 1.951 1.239
Cu 1.204 1.951 3.697
```

Output
total moment	2.0	Bohr magnetons per cell
DFT formation energy	279	meV per atom
E	-23.8	eV for the cell shown

---

9.
This record from Alexandria via LeMat-Bulk describes crystalline ErBe2Ni2 at its relaxed geometry. The functional is PBE.

Cell and atoms, written as extended XYZ:
```
10
Lattice="-1.888 1.888 9.178 1.888 -1.888 9.178 1.888 1.888 -9.178" Properties=species:S:1:pos:R:3 pbc="T T T"
Er 0.000 0.000 2.284
Er 0.000 0.000 16.073
Be 1.888 0.000 4.589
Be 0.000 0.000 8.015
Be 0.000 0.000 10.342
Be 0.000 1.888 4.589
Ni 1.888 0.000 0.000
Ni 0.000 0.000 5.735
Ni 0.000 1.888 0.000
Ni 0.000 0.000 12.622
```

Output
total moment	0.0	Bohr magnetons per cell
DFT formation energy	-348	meV per atom
E	-50.6	eV for the cell shown
relative energy among the computed polymorphs	11	meV per atom

---

10.
This record from Alexandria via LeMat-Bulk describes crystalline BaInAsSe2 at its relaxed geometry. The functional is PBE.

Cell and atoms, written as extended XYZ:
```
5
Lattice="6.264 0.000 0.000 0.000 6.264 0.000 0.000 0.000 6.311" Properties=species:S:1:pos:R:3 pbc="T T T"
Ba 0.000 0.000 0.000
In 3.132 3.132 3.155
As 0.000 0.000 3.155
Se 0.000 3.132 0.000
Se 3.132 0.000 0.000
```

Output
total moment	3.5	Bohr magnetons per cell
E	-14.9	eV for the cell shown
relative energy among the computed polymorphs	809	meV per atom
raw formation energy	0.28	eV per atom

---

- Look up the E of the eighth one.
  -23.8 eV for the cell shown

---

- Among the records above, which one has the highest total moment?
  BaInAsSe2